KRbNiS2: relaxed, PBE.

Results
- density (g/cm³) = 3.07
- total moment (μB/cell) = 0.00
- density of states at the Fermi level (states/eV/atom) = 0.069
- formation energy without anion corrections (eV/atom) = -0.72

a b c (Å): 6.495 5.516 7.465
angles (deg): 90.00 90.00 90.00
Fractional coordinates of all 10 atoms:
K  0.597  0.750  0.000
K  0.403  0.250  0.000
Rb  0.211  0.250  0.500
Rb  0.789  0.750  0.500
Ni  0.000  0.000  0.000
Ni  0.000  0.500  0.000
S  0.847  0.250  0.800
S  0.847  0.250  0.200
S  0.153  0.750  0.800
S  0.153  0.750  0.200